BaAs2WAu: optimized geometry, PBE.

Values from the calculation:
Formation enthalpy at 0 K: -143 kJ/mol of formula units

Lattice parameters (Å, degrees): 4.925 4.925 5.342 90.00 90.00 90.00
Space group P4/mmm (No. 123)
One atom of each set of equivalent atoms:
Ba  0.000  0.000  0.000
As  0.000  0.500  0.500
W  0.500  0.500  0.500
Au  0.500  0.500  0.000